[1]
A geometry-optimized MoRu2Rh structure. Source: Alexandria via LeMat-Bulk, functional PBE.

Results
E_tot = -9.211 eV per atom
volume = 57.70 Å³/cell
crystal system = tetragonal
SG = No. 139
formation energy = -0.028 eV/atom

Unit cell a=4.6967 b=4.6967 c=4.6967 alpha=131.01 beta=131.01 gamma=71.79
Positions (direct):
Mo  0.0000  0.0000  0.0000
Ru  0.2500  0.7500  0.5000
Ru  0.7500  0.2500  0.5000
Rh  0.5000  0.5000  0.0000

=====

[2]
A geometry-optimized MoRu3Rh structure. Source: Alexandria via LeMat-Bulk, functional PBE.

Results
E_tot = -7.071 eV per atom
volume = 95.70 Å³/cell
crystal system = cubic
SG = No. 221
formation energy = 2.131 eV/atom

Unit cell a=4.5740 b=4.5740 c=4.5740 alpha=90.00 beta=90.00 gamma=90.00
Positions (direct):
Mo  0.0000  0.0000  0.0000
Ru  0.0000  0.5000  0.5000
Ru  0.5000  0.0000  0.5000
Ru  0.5000  0.5000  0.0000
Rh  0.5000  0.5000  0.5000

=====

[3]
A geometry-optimized MoRu2Rh5 structure. Source: Alexandria via LeMat-Bulk, functional PBE.

Results
E_tot = -7.994 eV per atom
volume = 239.94 Å³/cell
crystal system = tetragonal
SG = No. 140
formation energy = 0.273 eV/atom

Unit cell a=7.2576 b=7.2576 c=7.2576 alpha=126.31 beta=126.31 gamma=79.38
Positions (direct):
Mo  0.2500  0.2500  0.0000
Mo  0.7500  0.7500  0.0000
Ru  0.1350  0.6350  0.7701
Ru  0.3650  0.1350  0.5000
Ru  0.6350  0.8650  0.5000
Ru  0.8650  0.3650  0.2299
Rh  0.0000  0.0000  0.0000
Rh  0.0204  0.8165  0.5000
Rh  0.1835  0.6835  0.2039
Rh  0.3165  0.5204  0.5000
Rh  0.4796  0.9796  0.7961
Rh  0.5000  0.5000  0.0000
Rh  0.5204  0.0204  0.2039
Rh  0.6835  0.4796  0.5000
Rh  0.8165  0.3165  0.7961
Rh  0.9796  0.1835  0.5000

=====

[4]
A geometry-optimized MoRu2Rh structure. Source: Alexandria via LeMat-Bulk, functional PBE.

Results
E_tot = -9.113 eV per atom
volume = 57.96 Å³/cell
crystal system = trigonal
SG = No. 160
formation energy = 0.071 eV/atom

Unit cell a=9.0779 b=9.0779 c=9.0779 alpha=17.34 beta=17.34 gamma=17.34
Positions (direct):
Mo  0.0000  0.0000  0.0000
Ru  0.2479  0.2479  0.2479
Ru  0.5007  0.5007  0.5007
Rh  0.7502  0.7502  0.7502

=====

[5]
A geometry-optimized MoRu2Rh structure. Source: Alexandria via LeMat-Bulk, functional PBE.

Results
E_tot = -9.161 eV per atom
volume = 57.81 Å³/cell
crystal system = orthorhombic
SG = No. 65
formation energy = 0.022 eV/atom

Unit cell a=4.7102 b=4.7102 c=2.7494 alpha=90.00 beta=90.00 gamma=108.62
Positions (direct):
Mo  0.0000  0.0000  0.0000
Ru  0.0000  0.5000  0.5000
Ru  0.5000  0.0000  0.5000
Rh  0.5000  0.5000  0.0000

=====

[6]
A geometry-optimized Mo2Ru3Rh3 structure. Source: Alexandria via LeMat-Bulk, functional PBE.

Results
E_tot = -8.848 eV per atom
volume = 119.43 Å³/cell
crystal system = trigonal
SG = No. 155
formation energy = 0.095 eV/atom

Unit cell a=4.9459 b=4.9459 c=4.9459 alpha=95.15 beta=95.15 gamma=95.15
Positions (direct):
Mo  0.2210  0.2210  0.2210
Mo  0.7790  0.7790  0.7790
Ru  0.0000  0.2952  0.7048
Ru  0.2952  0.7048  0.0000
Ru  0.7048  0.0000  0.2952
Rh  0.2120  0.7880  0.5000
Rh  0.5000  0.2120  0.7880
Rh  0.7880  0.5000  0.2120

=====

[7]
A geometry-optimized Mo3Ru3Rh structure. Source: Alexandria via LeMat-Bulk, functional PBE.

Results
E_tot = -9.443 eV per atom
volume = 218.57 Å³/cell
crystal system = orthorhombic
SG = No. 65
formation energy = 0.225 eV/atom

Unit cell a=6.0722 b=6.0722 c=5.9288 alpha=90.00 beta=90.00 gamma=91.03
Positions (direct):
Mo  0.0000  0.0000  0.2473
Mo  0.0000  0.0000  0.7527
Mo  0.0000  0.5000  0.2490
Mo  0.0000  0.5000  0.7510
Mo  0.5000  0.0000  0.2490
Mo  0.5000  0.0000  0.7510
Ru  0.2683  0.7317  0.5000
Ru  0.2761  0.2761  0.0000
Ru  0.2761  0.7239  0.0000
Ru  0.7239  0.2761  0.0000
Ru  0.7239  0.7239  0.0000
Ru  0.7317  0.2683  0.5000
Rh  0.2875  0.2875  0.5000
Rh  0.7125  0.7125  0.5000

=====

[8]
A geometry-optimized MoRu2Rh structure. Source: Alexandria via LeMat-Bulk, functional PBE.

Results
E_tot = -9.126 eV per atom
volume = 58.01 Å³/cell
crystal system = tetragonal
SG = No. 123
formation energy = 0.058 eV/atom

Unit cell a=2.7417 b=2.7417 c=7.7168 alpha=90.00 beta=90.00 gamma=90.00
Positions (direct):
Mo  0.0000  0.0000  0.0000
Ru  0.5000  0.5000  0.2508
Ru  0.5000  0.5000  0.7492
Rh  0.0000  0.0000  0.5000

=====

[9]
A geometry-optimized MoRu3Rh structure. Source: Alexandria via LeMat-Bulk, functional PBE.

Results
E_tot = -7.855 eV per atom
volume = 99.06 Å³/cell
crystal system = trigonal
SG = No. 166
formation energy = 1.347 eV/atom

Unit cell a=5.1644 b=5.1644 c=5.1644 alpha=60.76 beta=60.76 gamma=60.76
Positions (direct):
Mo  0.0000  0.0000  0.0000
Ru  0.0000  0.5000  0.5000
Ru  0.5000  0.0000  0.5000
Ru  0.5000  0.5000  0.0000
Rh  0.5000  0.5000  0.5000

=====

[10]
A geometry-optimized MoRu2Rh structure. Source: Alexandria via LeMat-Bulk, functional PBE.

Results
E_tot = -9.174 eV per atom
volume = 57.81 Å³/cell
crystal system = monoclinic
SG = No. 12
formation energy = 0.009 eV/atom

Unit cell a=4.7227 b=4.7227 c=4.7580 alpha=99.76 beta=99.76 gamma=33.61
Positions (direct):
Mo  0.0000  0.0000  0.0000
Ru  0.2507  0.2507  0.7512
Ru  0.7492  0.7492  0.2488
Rh  0.5000  0.5000  0.5000

=====

[11]
A geometry-optimized MoRu2Rh structure. Source: Alexandria via LeMat-Bulk, functional PBE.

Results
E_tot = -9.099 eV per atom
volume = 57.99 Å³/cell
crystal system = trigonal
SG = No. 166
formation energy = 0.085 eV/atom

Unit cell a=9.0934 b=9.0934 c=9.0934 alpha=17.30 beta=17.30 gamma=17.30
Positions (direct):
Mo  0.0000  0.0000  0.0000
Ru  0.2495  0.2495  0.2495
Ru  0.7505  0.7505  0.7505
Rh  0.5000  0.5000  0.5000

=====

[12]
A geometry-optimized Mo4RuRh structure. Source: Alexandria via LeMat-Bulk, functional PBE.

Results
E_tot = -9.727 eV per atom
volume = 95.36 Å³/cell
crystal system = cubic
SG = No. 216
formation energy = 0.265 eV/atom

Unit cell a=5.1282 b=5.1282 c=5.1282 alpha=60.00 beta=60.00 gamma=60.00
Positions (direct):
Mo  0.1247  0.1247  0.1247
Mo  0.1247  0.1247  0.6260
Mo  0.1247  0.6260  0.1247
Mo  0.6260  0.1247  0.1247
Ru  0.5000  0.5000  0.5000
Rh  0.7500  0.7500  0.7500

=====

[13]
A geometry-optimized MoRuRh5 structure. Source: Alexandria via LeMat-Bulk, functional PBE.

Results
E_tot = -7.849 eV per atom
volume = 217.05 Å³/cell
crystal system = monoclinic
SG = No. 15
formation energy = 0.274 eV/atom

Unit cell a=5.2408 b=5.2408 c=9.0558 alpha=107.13 beta=107.13 gamma=69.15
Positions (direct):
Mo  0.0764  0.9236  0.7500
Mo  0.9236  0.0764  0.2500
Ru  0.0000  0.5000  0.0000
Ru  0.5000  0.0000  0.5000
Rh  0.1586  0.3467  0.7269
Rh  0.2419  0.5915  0.5232
Rh  0.3467  0.1586  0.2269
Rh  0.3480  0.6520  0.2500
Rh  0.4085  0.7581  0.9768
Rh  0.5915  0.2419  0.0232
Rh  0.6520  0.3480  0.7500
Rh  0.6533  0.8414  0.7731
Rh  0.7581  0.4085  0.4768
Rh  0.8414  0.6533  0.2731

=====

[14]
A geometry-optimized Mo2RuRh3 structure. Source: Alexandria via LeMat-Bulk, functional PBE.

Results
E_tot = -8.697 eV per atom
volume = 90.67 Å³/cell
crystal system = orthorhombic
SG = No. 65
formation energy = 0.135 eV/atom

Unit cell a=7.5971 b=7.5971 c=2.7525 alpha=90.00 beta=90.00 gamma=145.20
Positions (direct):
Mo  0.1501  0.8499  0.0000
Mo  0.8499  0.1501  0.0000
Ru  0.5000  0.5000  0.0000
Rh  0.0000  0.0000  0.5000
Rh  0.3108  0.6892  0.5000
Rh  0.6892  0.3108  0.5000

=====

[15]
A geometry-optimized MoRu2Rh structure. Source: Alexandria via LeMat-Bulk, functional PBE.

Results
E_tot = -9.268 eV per atom
volume = 57.50 Å³/cell
crystal system = tetragonal
SG = No. 123
formation energy = -0.085 eV/atom

Unit cell a=3.8745 b=3.8745 c=3.8302 alpha=90.00 beta=90.00 gamma=90.00
Positions (direct):
Mo  0.0000  0.0000  0.0000
Ru  0.0000  0.5000  0.5000
Ru  0.5000  0.0000  0.5000
Rh  0.5000  0.5000  0.0000

=====

[16]
A geometry-optimized MoRu2Rh structure. Source: Alexandria via LeMat-Bulk, functional PBE.

Results
E_tot = -9.174 eV per atom
volume = 57.97 Å³/cell
crystal system = tetragonal
SG = No. 99
formation energy = 0.009 eV/atom

Unit cell a=2.7264 b=2.7264 c=7.7993 alpha=90.00 beta=90.00 gamma=90.00
Positions (direct):
Mo  0.0000  0.0000  0.0000
Ru  0.0000  0.0000  0.5041
Ru  0.5000  0.5000  0.7337
Rh  0.5000  0.5000  0.2469

=====

[17]
A geometry-optimized Mo2Ru3Rh2 structure. Source: Alexandria via LeMat-Bulk, functional PBE.

Results
E_tot = -9.118 eV per atom
volume = 102.80 Å³/cell
crystal system = orthorhombic
SG = No. 65
formation energy = 0.052 eV/atom

Unit cell a=9.7332 b=9.7332 c=2.7167 alpha=90.00 beta=90.00 gamma=156.46
Positions (direct):
Mo  0.1457  0.8543  0.0000
Mo  0.8543  0.1457  0.0000
Ru  0.0000  0.0000  0.0000
Ru  0.4325  0.5675  0.5000
Ru  0.5675  0.4325  0.5000
Rh  0.2924  0.7076  0.5000
Rh  0.7076  0.2924  0.5000

=====

[18]
A geometry-optimized Mo9Ru4Rh11 structure. Source: Alexandria via LeMat-Bulk, functional PBE.

Results
E_tot = -9.024 eV per atom
volume = 356.62 Å³/cell
crystal system = orthorhombic
SG = No. 65
formation energy = -0.047 eV/atom

Unit cell a=12.0660 b=12.0660 c=2.7355 alpha=90.00 beta=90.00 gamma=116.43
Positions (direct):
Mo  0.0000  0.0000  0.0000
Mo  0.1071  0.6781  0.0000
Mo  0.2927  0.4826  0.0000
Mo  0.3219  0.8929  0.0000
Mo  0.4826  0.2927  0.0000
Mo  0.5174  0.7073  0.0000
Mo  0.6781  0.1071  0.0000
Mo  0.7073  0.5174  0.0000
Mo  0.8929  0.3219  0.0000
Ru  0.0841  0.2647  0.0000
Ru  0.2647  0.0841  0.0000
Ru  0.7353  0.9159  0.0000
Ru  0.9159  0.7353  0.0000
Rh  0.0976  0.4711  0.5000
Rh  0.1187  0.8813  0.5000
Rh  0.2865  0.2865  0.5000
Rh  0.3114  0.6886  0.5000
Rh  0.4711  0.0976  0.5000
Rh  0.5000  0.5000  0.5000
Rh  0.5289  0.9024  0.5000
Rh  0.6886  0.3114  0.5000
Rh  0.7135  0.7135  0.5000
Rh  0.8813  0.1187  0.5000
Rh  0.9024  0.5289  0.5000

=====

[19]
A geometry-optimized MoRuRh6 structure. Source: Alexandria via LeMat-Bulk, functional PBE.

Results
E_tot = -8.088 eV per atom
volume = 114.27 Å³/cell
crystal system = tetragonal
SG = No. 123
formation energy = -0.061 eV/atom

Unit cell a=5.4420 b=5.4420 c=3.8584 alpha=90.00 beta=90.00 gamma=90.00
Positions (direct):
Mo  0.0000  0.0000  0.0000
Ru  0.5000  0.5000  0.0000
Rh  0.0000  0.5000  0.0000
Rh  0.2497  0.2497  0.5000
Rh  0.2497  0.7503  0.5000
Rh  0.5000  0.0000  0.0000
Rh  0.7503  0.2497  0.5000
Rh  0.7503  0.7503  0.5000

=====

[20]
A geometry-optimized MoRu2Rh structure. Source: Alexandria via LeMat-Bulk, functional PBE.

Results
E_tot = -8.912 eV per atom
volume = 59.43 Å³/cell
crystal system = tetragonal
SG = No. 99
formation energy = 0.272 eV/atom

Unit cell a=3.2772 b=3.2772 c=5.5333 alpha=90.00 beta=90.00 gamma=90.00
Positions (direct):
Mo  0.0000  0.0000  0.0000
Ru  0.0000  0.0000  0.5231
Ru  0.5000  0.5000  0.7457
Rh  0.5000  0.5000  0.2565

=====

[21]
A geometry-optimized Mo5RuRh6 structure. Source: Alexandria via LeMat-Bulk, functional PBE.

Results
E_tot = -9.120 eV per atom
volume = 176.44 Å³/cell
crystal system = orthorhombic
SG = No. 71
formation energy = -0.158 eV/atom

Unit cell a=7.2755 b=7.2755 c=7.2755 alpha=149.17 beta=114.72 gamma=73.93
Positions (direct):
Mo  0.0000  0.0000  0.0000
Mo  0.1662  0.6662  0.5000
Mo  0.3355  0.3355  0.0000
Mo  0.6645  0.6645  0.0000
Mo  0.8338  0.3338  0.5000
Ru  0.5000  0.0000  0.5000
Rh  0.0843  0.8337  0.2506
Rh  0.2494  0.5000  0.7494
Rh  0.4169  0.1663  0.2506
Rh  0.5831  0.8337  0.7494
Rh  0.7506  0.5000  0.2506
Rh  0.9157  0.1663  0.7494

=====

[22]
A geometry-optimized Mo3Ru5Rh structure. Source: Alexandria via LeMat-Bulk, functional PBE.

Results
E_tot = -8.938 eV per atom
volume = 286.85 Å³/cell
crystal system = tetragonal
SG = No. 127
formation energy = 0.642 eV/atom

Unit cell a=6.2707 b=6.2707 c=7.2950 alpha=90.00 beta=90.00 gamma=90.00
Positions (direct):
Mo  0.0000  0.0000  0.0000
Mo  0.1352  0.3648  0.5000
Mo  0.3648  0.8648  0.5000
Mo  0.5000  0.5000  0.0000
Mo  0.6352  0.1352  0.5000
Mo  0.8648  0.6352  0.5000
Ru  0.0000  0.0000  0.5000
Ru  0.2319  0.7319  0.2101
Ru  0.2319  0.7319  0.7899
Ru  0.2681  0.2319  0.2101
Ru  0.2681  0.2319  0.7899
Ru  0.5000  0.5000  0.5000
Ru  0.7319  0.7681  0.2101
Ru  0.7319  0.7681  0.7899
Ru  0.7681  0.2681  0.2101
Ru  0.7681  0.2681  0.7899
Rh  0.0000  0.5000  0.0000
Rh  0.5000  0.0000  0.0000

=====

[23]
A geometry-optimized Mo3Ru2Rh2 structure. Source: Alexandria via LeMat-Bulk, functional PBE.

Results
E_tot = -9.282 eV per atom
volume = 106.18 Å³/cell
crystal system = monoclinic
SG = No. 12
formation energy = 0.110 eV/atom

Unit cell a=5.3319 b=5.3319 c=4.9357 alpha=98.15 beta=98.15 gamma=50.01
Positions (direct):
Mo  0.0000  0.0000  0.0000
Mo  0.2802  0.2802  0.1823
Mo  0.7198  0.7198  0.8177
Ru  0.1315  0.1315  0.6122
Ru  0.8685  0.8685  0.3878
Rh  0.4165  0.4165  0.7355
Rh  0.5835  0.5835  0.2645

=====

[24]
A geometry-optimized MoRu2Rh4 structure. Source: Alexandria via LeMat-Bulk, functional PBE.

Results
E_tot = -8.055 eV per atom
volume = 110.02 Å³/cell
crystal system = monoclinic
SG = No. 10
formation energy = 0.344 eV/atom

Unit cell a=4.4461 b=4.4422 c=5.5705 alpha=90.00 beta=90.12 gamma=90.00
Positions (direct):
Mo  0.0000  0.0000  0.0000
Ru  0.5000  0.5000  0.0000
Ru  0.5000  0.5000  0.5000
Rh  0.0000  0.5000  0.2648
Rh  0.0000  0.5000  0.7352
Rh  0.4986  0.0000  0.7358
Rh  0.5014  0.0000  0.2642